*1*
DFT (GGA-PBE) results for crystalline KIrSe2N at its relaxed geometry.

Cell lengths 5.442, 5.442, 3.666 Å; angles 90.00, 90.00, 90.00 degrees
Positions (direct):
K: 0.000 0.000 0.000
Ir: 0.500 0.500 0.500
Se: 0.000 0.500 0.500
Se: 0.500 0.000 0.500
N: 0.500 0.500 0.000

Output
Its theoretical density is 6.17 Mg/m³.

***

*2*
DFT (GGA-PBE) results for crystalline KIrSe2N at its relaxed geometry.

Cell lengths 5.601, 5.601, 4.650 Å; angles 90.00, 90.00, 90.00 degrees
Positions (direct):
K: 0.000 0.000 0.000
Ir: 0.500 0.500 0.500
Se: 0.000 0.500 0.000
Se: 0.500 0.000 0.000
N: 0.000 0.000 0.500

Output
Its theoretical density is 4.59 Mg/m³.

***

From most stable to least stable, the computed energies give *1*, *2*.

***

*1*
DFT (GGA-PBE) results for crystalline KTe2IrN at its relaxed geometry.

Cell lengths 5.891, 5.891, 3.655 Å; angles 90.00, 90.00, 90.00 degrees
Positions (direct):
K: 0.000 0.000 0.000
Te: 0.000 0.500 0.500
Te: 0.500 0.000 0.500
Ir: 0.500 0.500 0.500
N: 0.500 0.500 0.000

Output
Its theoretical density is 6.55 Mg/m³.

***

*2*
DFT (GGA-PBE) results for crystalline KTe2IrN at its relaxed geometry.

Cell lengths 5.773, 5.773, 3.955 Å; angles 90.00, 90.00, 90.00 degrees
Positions (direct):
K: 0.000 0.000 0.000
Te: 0.000 0.500 0.000
Te: 0.500 0.000 0.000
Ir: 0.500 0.500 0.500
N: 0.000 0.000 0.500

Output
Its theoretical density is 6.31 Mg/m³.

***

From most stable to least stable, the computed energies give *1*, *2*.

***

*1*
DFT (GGA-PBE) results for crystalline KNaIr3 at its relaxed geometry.

Cell lengths 4.888, 4.888, 4.888 Å; angles 90.00, 90.00, 90.00 degrees
Positions (direct):
K: 0.000 0.000 0.000
Na: 0.500 0.500 0.500
Ir: 0.000 0.000 0.500
Ir: 0.000 0.500 0.000
Ir: 0.500 0.000 0.000

Output
Its theoretical density is 9.08 Mg/m³.

***

*2*
DFT (GGA-PBE) results for crystalline KNaIr3 at its relaxed geometry.

Cell lengths 4.762, 4.762, 4.762 Å; angles 90.00, 90.00, 90.00 degrees
Positions (direct):
K: 0.000 0.000 0.000
Na: 0.500 0.500 0.500
Ir: 0.000 0.500 0.500
Ir: 0.500 0.000 0.500
Ir: 0.500 0.500 0.000

Output
Its theoretical density is 9.82 Mg/m³.

***

From most stable to least stable, the computed energies give *2*, *1*.